[1]
Material: Pr8Ni3SCl4
Method: DFT, PBE
State: relaxed

Properties
raw formation energy: -25.337 kcal/mol of atoms
SG: R-3m, No. 166
size of the total moment: 0.0 μB per formula unit

a = 8.1746 Å, b = 8.6378 Å, c = 8.1748 Å
α = 118.25°, β = 120.00°, γ = 90.00°
Positions (direct):
Pr: 0.2422 0.7192 0.9770
Pr: 0.2422 0.7192 0.4844
Pr: 0.2658 0.2973 0.5316
Pr: 0.7348 0.7192 0.9770
Pr: 0.2652 0.2808 0.0230
Pr: 0.7342 0.7027 0.4684
Pr: 0.7578 0.2808 0.5156
Pr: 0.7578 0.2808 0.0230
Ni: 0.5000 0.5000 0.0000
Ni: 0.5000 0.5000 0.5000
Ni: 0.0000 0.5000 0.5000
S: 0.0000 0.5000 0.0000
Cl: 0.5000 0.0000 0.0000
Cl: 0.5000 0.0000 0.5000
Cl: 0.0000 0.0000 0.0000
Cl: 0.0000 0.0000 0.5000

---

[2]
Material: Pr4NiSe2Cl
Method: DFT, PBE
State: relaxed

Properties
raw formation energy: -31.176 kcal/mol of atoms
SG: P2/m, No. 10
size of the total moment: 0.0 μB per formula unit

a = 4.0791 Å, b = 7.3730 Å, c = 7.4218 Å
α = 108.63°, β = 90.00°, γ = 90.00°
Positions (direct):
Pr: 0.5000 0.2598 0.2510
Pr: 0.5000 0.7402 0.7490
Pr: 0.0000 0.2722 0.7700
Pr: 0.0000 0.7278 0.2300
Ni: 0.5000 0.5000 0.0000
Se: 0.5000 0.0000 0.5000
Se: 0.0000 0.5000 0.5000
Cl: 0.0000 0.0000 0.0000

---

The calculation returns the following DFT total energy values, one per record and in order: -5.292, -5.566 eV per atom.